TbDy3Y7: relaxed, GGA-PBE.

```
data_TbDy3Y7
_symmetry_space_group_name_H-M 'P 1 2/m 1'
_symmetry_Int_Tables_number 10
_cell_length_a 6.926
_cell_length_b 5.545
_cell_length_c 10.017
_cell_angle_alpha 90.00
_cell_angle_beta 110.15
_cell_angle_gamma 90.00
loop_
_symmetry_equiv_pos_as_xyz
'x,y,z'
'-x,-y,-z'
'-x,y,-z'
'x,-y,z'
loop_
_atom_site_label
_atom_site_type_symbol
_atom_site_fract_x
_atom_site_fract_y
_atom_site_fract_z
_atom_site_occupancy
Tb1 Tb 0.000 0.000 0.000 1
Dy1 Dy 0.279 0.500 0.500 1
Dy2 Dy 0.500 0.000 0.000 1
Y1 Y 0.000 0.000 0.500 1
Y2 Y 0.144 0.500 0.789 1
Y3 Y 0.320 0.500 0.138 1
Y4 Y 0.416 0.000 0.330 1
```

Energy above the most stable polymorph in this dataset: 0 meV per atom
Energy relative to the elements: 0.1459 eV/atom

Pr2HoMnS5: relaxed, GGA-PBE.

```
data_Pr2HoMnS5
_symmetry_space_group_name_H-M 'C m c 21'
_symmetry_Int_Tables_number 36
_cell_length_a 3.944
_cell_length_b 16.627
_cell_length_c 12.044
_cell_angle_alpha 90.00
_cell_angle_beta 90.00
_cell_angle_gamma 90.00
loop_
_symmetry_equiv_pos_as_xyz
'x,y,z'
'-x,-y,z+1/2'
'-x,y,z'
'x,-y,z+1/2'
'x+1/2,y+1/2,z'
'-x+1/2,-y+1/2,z+1/2'
'-x+1/2,y+1/2,z'
'x+1/2,-y+1/2,z+1/2'
loop_
_atom_site_label
_atom_site_type_symbol
_atom_site_fract_x
_atom_site_fract_y
_atom_site_fract_z
_atom_site_occupancy
Pr1 Pr 0.000 0.118 0.000 1
Pr2 Pr 0.000 0.123 0.650 1
Ho1 Ho 0.000 0.186 0.333 1
Mn1 Mn 0.000 0.449 0.737 1
S1 S 0.000 0.020 0.332 1
S2 S 0.000 0.300 0.990 1
S3 S 0.000 0.312 0.671 1
S4 S 0.000 0.347 0.324 1
S5 S 0.000 0.494 0.064 1
```

ΔE_f (raw): -1.729 eV per atom

LaScSb2: relaxed, GGA-PBE.

```
data_LaScSb2
_symmetry_space_group_name_H-M 'A m m 2'
_symmetry_Int_Tables_number 38
_cell_length_a 4.714
_cell_length_b 4.201
_cell_length_c 11.853
_cell_angle_alpha 90.00
_cell_angle_beta 90.00
_cell_angle_gamma 90.00
loop_
_symmetry_equiv_pos_as_xyz
'x,y,z'
'-x,-y,z'
'-x,y,z'
'x,-y,z'
'x,y+1/2,z+1/2'
'-x,-y+1/2,z+1/2'
'-x,y+1/2,z+1/2'
'x,-y+1/2,z+1/2'
loop_
_atom_site_label
_atom_site_type_symbol
_atom_site_fract_x
_atom_site_fract_y
_atom_site_fract_z
_atom_site_occupancy
La1 La 0.000 0.000 0.000 1
Sc1 Sc 0.500 0.000 0.248 1
Sb1 Sb 0.000 0.000 0.729 1
Sb2 Sb 0.500 0.000 0.493 1
```

ΔE_f (raw): -0.889 eV per atom
Energy above the most stable polymorph in this dataset: 197 meV per atom

Number 1: total magnetic moment 0.0 μB/cell. Number 2: total magnetic moment 17.5 μB/cell. Number 3: total magnetic moment 0.0 μB/cell.